1.
A plane-wave DFT calculation with PBE was carried out for an optimized crystal structure of SnHIr.

Output
Magnetic moment ... 0.00 μB per formula unit
D(E_F) ... 0.68 states/eV/cell
Energy above the lowest structure with this stoichiometry ... 58 meV/atom
Calculated total energy ... -0.3929 Ry per atom

Cell lengths 5.101, 5.101, 5.421 Å; angles 90.00, 90.00, 143.60 degrees
Atoms (fractional coordinates):
Sn 0.199 0.801 0.750
Sn 0.801 0.199 0.250
H 0.294 0.294 0.000
H 0.706 0.706 0.500
Ir 0.077 0.923 0.250
Ir 0.923 0.077 0.750

2.
A plane-wave DFT calculation with PBE was carried out for an optimized crystal structure of AsRh3Cl.

Output
E_form (uncorrected) ... 64.3 kJ/mol of atoms
Magnetic moment ... 1.35 μB per formula unit
D(E_F) ... 9.96 states/eV/cell
Energy above the lowest structure with this stoichiometry ... 0 meV/atom
Calculated total energy ... -0.3707 Ry per atom

Cell lengths 4.633, 4.633, 4.633 Å; angles 90.00, 90.00, 90.00 degrees
Atoms (fractional coordinates):
As 0.000 0.000 0.000
Rh 0.000 0.000 0.500
Rh 0.000 0.500 0.000
Rh 0.500 0.000 0.000
Cl 0.500 0.500 0.500

3.
A plane-wave DFT calculation with PBE was carried out for an optimized crystal structure of Ag2AuBr.

Output
E_form (uncorrected) ... 1.7 kJ/mol of atoms
Magnetic moment ... 0.00 μB per formula unit
D(E_F) ... 0.63 states/eV/cell
Energy above the lowest structure with this stoichiometry ... 59 meV/atom
Calculated total energy ... -0.1944 Ry per atom

Cell lengths 4.049, 3.796, 6.458 Å; angles 90.00, 94.42, 90.00 degrees
Atoms (fractional coordinates):
Ag 0.000 0.000 0.000
Ag 0.034 0.500 0.352
Au 0.522 0.000 0.297
Br 0.755 0.500 0.729

4.
A plane-wave DFT calculation with PBE was carried out for an optimized crystal structure of CrFeSn2B.

Output
Magnetic moment ... 0.05 μB per formula unit
D(E_F) ... 5.22 states/eV/cell
ΔE_f ... 6.879 eV/f.u.
Calculated total energy ... -0.3806 Ry per atom

Cell lengths 4.813, 4.813, 4.190 Å; angles 90.00, 90.00, 90.00 degrees
Atoms (fractional coordinates):
Cr 0.000 0.000 0.000
Fe 0.000 0.000 0.500
Sn 0.000 0.500 0.500
Sn 0.500 0.000 0.500
B 0.500 0.500 0.000

5.
A plane-wave DFT calculation with PBE was carried out for an optimized crystal structure of RbAcCd2.

Output
Magnetic moment ... 0.10 μB per formula unit
D(E_F) ... 4.05 states/eV/cell
Energy above the lowest structure with this stoichiometry ... 0 meV/atom
ΔE_f ... -0.394 eV/f.u.
Calculated total energy ... -0.1341 Ry per atom

Cell lengths 4.193, 4.193, 8.850 Å; angles 90.00, 90.00, 90.00 degrees
Atoms (fractional coordinates):
Rb 0.000 0.000 0.000
Ac 0.000 0.000 0.500
Cd 0.500 0.500 0.294
Cd 0.500 0.500 0.706

6.
A plane-wave DFT calculation with PBE was carried out for an optimized crystal structure of Ba2SrCa.

Output
Magnetic moment ... 0.00 μB per formula unit
D(E_F) ... 4.73 states/eV/cell
Energy above the lowest structure with this stoichiometry ... 7 meV/atom
ΔE_f ... 0.103 eV/f.u.
Calculated total energy ... -0.1365 Ry per atom

Cell lengths 7.881, 7.881, 4.147 Å; angles 99.47, 99.47, 116.53 degrees
Atoms (fractional coordinates):
Ba 0.000 0.500 0.000
Ba 0.500 0.000 0.000
Sr 0.000 0.000 0.500
Ca 0.500 0.500 0.500

7.
A plane-wave DFT calculation with PBE was carried out for an optimized crystal structure of CaPrSm2S4.

Output
E_form (uncorrected) ... -196.5 kJ/mol of atoms
Magnetic moment ... 0.00 μB per formula unit
D(E_F) ... 2.95 states/eV/cell
Calculated total energy ... -0.4504 Ry per atom

Cell lengths 6.993, 4.016, 7.019 Å; angles 90.00, 109.12, 90.00 degrees
Atoms (fractional coordinates):
Ca 0.000 0.000 0.000
Pr 0.000 0.500 0.500
Sm 0.500 0.000 0.500
Sm 0.500 0.500 0.000
S 0.251 0.500 0.245
S 0.254 0.000 0.758
S 0.746 0.000 0.242
S 0.749 0.500 0.755

8.
A plane-wave DFT calculation with PBE was carried out for an optimized crystal structure of MgCd6Pd12.

Output
Magnetic moment ... 0.00 μB per formula unit
D(E_F) ... 7.11 states/eV/cell
ΔE_f ... -4.303 eV/f.u.
Calculated total energy ... -0.2851 Ry per atom

Cell lengths 6.924, 6.924, 6.924 Å; angles 92.61, 92.61, 92.61 degrees
Atoms (fractional coordinates):
Mg 0.000 0.000 0.000
Cd 0.124 0.293 0.733
Cd 0.267 0.876 0.707
Cd 0.293 0.733 0.124
Cd 0.707 0.267 0.876
Cd 0.733 0.124 0.293
Cd 0.876 0.707 0.267
Pd 0.038 0.360 0.134
Pd 0.134 0.038 0.360
Pd 0.208 0.543 0.457
Pd 0.360 0.134 0.038
Pd 0.457 0.208 0.543
Pd 0.457 0.543 0.792
Pd 0.543 0.457 0.208
Pd 0.543 0.792 0.457
Pd 0.640 0.866 0.962
Pd 0.792 0.457 0.543
Pd 0.866 0.962 0.640
Pd 0.962 0.640 0.866

9.
A plane-wave DFT calculation with PBE was carried out for an optimized crystal structure of Zr2Ni2Hg.

Output
Magnetic moment ... 0.00 μB per formula unit
D(E_F) ... 1.57 states/eV/cell
Energy above the lowest structure with this stoichiometry ... 301 meV/atom
ΔE_f ... -0.581 eV/f.u.
Calculated total energy ... -0.4342 Ry per atom

Cell lengths 5.485, 5.485, 5.485 Å; angles 129.53, 129.53, 74.15 degrees
Atoms (fractional coordinates):
Zr 0.250 0.750 0.500
Zr 0.750 0.250 0.500
Ni 0.125 0.125 0.000
Ni 0.875 0.875 0.000
Hg 0.500 0.500 0.000

10.
A plane-wave DFT calculation with PBE was carried out for an optimized crystal structure of AlTl2AgF6.

Output
E_form (uncorrected) ... -229.4 kJ/mol of atoms
Magnetic moment ... 0.08 μB per formula unit
D(E_F) ... 0.00 states/eV/cell
Calculated total energy ... -0.3405 Ry per atom

Cell lengths 6.113, 6.099, 10.601 Å; angles 90.00, 125.11, 90.00 degrees
Atoms (fractional coordinates):
Al 0.000 0.000 0.000
Al 0.000 0.500 0.500
Tl 0.250 0.000 0.750
Tl 0.250 0.500 0.250
Tl 0.750 0.000 0.250
Tl 0.750 0.500 0.750
Ag 0.500 0.000 0.500
Ag 0.500 0.500 0.000
F 0.200 0.003 0.212
F 0.200 0.497 0.712
F 0.211 0.220 0.004
F 0.211 0.280 0.504
F 0.226 0.708 0.508
F 0.226 0.792 0.008
F 0.774 0.208 0.992
F 0.774 0.292 0.492
F 0.789 0.720 0.496
F 0.789 0.780 0.996
F 0.800 0.503 0.288
F 0.800 0.997 0.788

11.
A plane-wave DFT calculation with PBE was carried out for an optimized crystal structure of TcPt2Rh2W.

Output
Magnetic moment ... 0.00 μB per formula unit
D(E_F) ... 15.60 states/eV/cell
ΔE_f ... 0.561 eV/f.u.
Calculated total energy ... -0.6069 Ry per atom

Cell lengths 4.948, 5.151, 7.422 Å; angles 90.00, 97.80, 90.00 degrees
Atoms (fractional coordinates):
Tc 0.101 0.250 0.425
Tc 0.899 0.750 0.575
Pt 0.456 0.501 0.681
Pt 0.456 0.999 0.681
Pt 0.544 0.001 0.319
Pt 0.544 0.499 0.319
Rh 0.116 0.750 0.906
Rh 0.358 0.250 0.990
Rh 0.642 0.750 0.010
Rh 0.884 0.250 0.094
W 0.062 0.750 0.269
W 0.938 0.250 0.731

12.
A plane-wave DFT calculation with PBE was carried out for an optimized crystal structure of CaAc3Tl12.

Output
Magnetic moment ... 0.00 μB per formula unit
D(E_F) ... 6.83 states/eV/cell
ΔE_f ... -4.594 eV/f.u.
Calculated total energy ... -0.2174 Ry per atom

Cell lengths 4.986, 4.986, 19.767 Å; angles 90.00, 90.00, 90.00 degrees
Atoms (fractional coordinates):
Ca 0.000 0.000 0.000
Ac 0.000 0.000 0.244
Ac 0.000 0.000 0.500
Ac 0.000 0.000 0.756
Tl 0.000 0.500 0.118
Tl 0.000 0.500 0.373
Tl 0.000 0.500 0.627
Tl 0.000 0.500 0.882
Tl 0.500 0.000 0.118
Tl 0.500 0.000 0.373
Tl 0.500 0.000 0.627
Tl 0.500 0.000 0.882
Tl 0.500 0.500 0.000
Tl 0.500 0.500 0.250
Tl 0.500 0.500 0.500
Tl 0.500 0.500 0.750